# TbCd12Ag6

Crystalline TbCd12Ag6 at its relaxed geometry (PBE, the Alexandria database).

Output
As for the density: 8.3 Mg/m³. For the calculated formation energy, the calculation gives 0.00 eV per atom. The symmetry is No. 166. Its total magnetization is 0.00 μB/cell.

a = 7.922 Å, b = 7.922 Å, c = 7.922 Å
α = 105.55°, β = 105.55°, γ = 105.55°
Positions (direct):
Tb1 0.000 0.000 0.000
Cd1 0.113 0.500 0.887
Cd2 0.113 0.887 0.500
Cd3 0.123 0.370 0.370
Cd4 0.370 0.123 0.370
Cd5 0.370 0.370 0.123
Cd6 0.500 0.113 0.887
Cd7 0.500 0.887 0.113
Cd8 0.630 0.630 0.877
Cd9 0.630 0.877 0.630
Cd10 0.877 0.630 0.630
Cd11 0.887 0.113 0.500
Cd12 0.887 0.500 0.113
Ag1 0.297 0.701 0.701
Ag2 0.299 0.299 0.703
Ag3 0.299 0.703 0.299
Ag4 0.701 0.297 0.701
Ag5 0.701 0.701 0.297
Ag6 0.703 0.299 0.299